Entry 1:
The following is a DFT calculation (PBE-GGA) of a geometry-optimized Zr5AgHg structure.

Unit cell a=5.8465 b=10.4528 c=10.4217 alpha=90.00 beta=90.00 gamma=90.00
Closest atoms and distances in Å follow each position.
Space group Imma (No. 74)
Symmetry-distinct sites (fractional):
Zr: 0.0000 0.0035 0.1459  1 Ag 2.92, 2 Zr 2.92-3.04
Zr: 0.0000 0.2500 0.2786  6 Zr 2.83-2.98
Zr: 0.2265 0.2500 0.9977  2 Zr 2.65-2.83, 1 Ag 2.92
Ag: 0.0000 0.2500 0.7370  6 Zr 2.92-3.02, 2 Ag 2.94
Hg: 0.0000 0.0000 0.5000  8 Zr 3.06-3.30

Computed properties:
* total magnetic moment: 0.00 Bohr magnetons per cell
* ΔH_f (0 K): 0.111 eV/atom



Entry 2:
The following is a DFT calculation (PBE-GGA) of a geometry-optimized ZrAgHg2 structure.

Unit cell a=3.0617 b=5.2686 c=11.6060 alpha=90.00 beta=90.00 gamma=90.00
Closest atoms and distances in Å follow each position.
Space group Immm (No. 71)
Symmetry-distinct sites (fractional):
Zr: 0.0000 0.0000 0.0000  2 Hg 2.97, 4 Ag 3.05, 2 Zr 3.06
Ag: 0.0000 0.0000 0.5000  2 Hg 2.83, 4 Zr 3.05, 2 Ag 3.06
Hg: 0.0000 0.0000 0.2560  1 Ag 2.83, 1 Zr 2.97, 6 Hg 3.05-3.06

Computed properties:
* total magnetic moment: 0.00 Bohr magnetons per cell
* ΔH_f (0 K): 0.276 eV/atom



Entry 3:
The following is a DFT calculation (PBE-GGA) of a geometry-optimized ZrAgHg2 structure.

Unit cell a=3.1584 b=3.1584 c=29.6556 alpha=90.00 beta=90.00 gamma=120.00
Closest atoms and distances in Å follow each position.
Space group R-3m (No. 166, hexagonal axes)
Symmetry-distinct sites (fractional):
Zr: 0.0000 0.0000 0.0000  6 Hg 3.13, 6 Zr 3.16
Ag: 0.0000 0.0000 0.5000  6 Hg 3.02, 6 Ag 3.16
Hg: 0.0000 0.0000 0.2478  3 Ag 3.02, 3 Zr 3.13, 6 Hg 3.16

Computed properties:
* total magnetic moment: 0.00 Bohr magnetons per cell
* ΔH_f (0 K): 0.019 eV/atom



Entry 4:
The following is a DFT calculation (PBE-GGA) of a geometry-optimized ZrAgHg2 structure.

Unit cell a=7.7832 b=7.7832 c=6.0985 alpha=90.00 beta=90.00 gamma=90.00
Closest atoms and distances in Å follow each position.
Space group I-42d (No. 122)
Symmetry-distinct sites (fractional):
Zr: 0.0000 0.0000 0.0000  4 Hg 2.91, 2 Ag 3.05
Ag: 0.0000 0.0000 0.5000  4 Hg 2.80, 2 Zr 3.05
Hg: 0.2398 0.2500 0.6250  2 Ag 2.80, 2 Zr 2.91, 2 Hg 3.05

Computed properties:
* total magnetic moment: 0.00 Bohr magnetons per cell
* ΔH_f (0 K): 0.224 eV/atom



Entry 5:
The following is a DFT calculation (PBE-GGA) of a geometry-optimized ZrAgHg2 structure.

Unit cell a=3.2512 b=3.2360 c=7.8946 alpha=90.00 beta=90.14 gamma=90.00
Closest atoms and distances in Å follow each position.
Space group P2/m (No. 10)
Symmetry-distinct sites (fractional):
Zr: 0.0000 0.0000 0.0000  8 Hg 3.06, 4 Zr 3.24-3.25
Ag: 0.0000 0.0000 0.5000  8 Hg 2.99-3.00, 4 Ag 3.24-3.25
Hg: 0.4981 0.5000 0.7432  4 Ag 2.99-3.00, 4 Zr 3.06, 4 Hg 3.24-3.25

Computed properties:
* total magnetic moment: 0.00 Bohr magnetons per cell
* ΔH_f (0 K): -0.065 eV/atom



Entry 6:
The following is a DFT calculation (PBE-GGA) of a geometry-optimized Ho3Ag2 structure.

Unit cell a=15.1523 b=5.0459 c=10.6587 alpha=90.00 beta=90.01 gamma=90.00
Closest atoms and distances in Å follow each position.
Space group C2/m (No. 12)
Symmetry-distinct sites (fractional):
Ho: 0.0000 0.0000 0.0000  6 Ag 3.08-3.09
Ho: 0.0022 0.0000 0.3358  5 Ag 3.06-3.12
Ho: 0.1636 0.5000 0.3316  5 Ag 3.05-3.12
Ho: 0.1674 0.5000 0.6675  6 Ag 3.08-3.09
Ho: 0.1690 0.5000 0.0034  5 Ag 3.05-3.12
Ag: 0.0009 0.5000 0.8340  8 Ho 3.05-3.12
Ag: 0.1663 0.0000 0.8327  8 Ho 3.05-3.12
Ag: 0.1672 0.0000 0.5012  8 Ho 3.06-3.12

Computed properties:
* offset from the most stable computed form: 149 meV/atom
* total magnetic moment: 0.00 Bohr magnetons per cell
* ΔH_f (0 K): -0.103 eV/atom



Entry 7:
The following is a DFT calculation (PBE-GGA) of a geometry-optimized Ho5Ag6 structure.

Unit cell a=5.0004 b=7.3264 c=15.1134 alpha=90.00 beta=90.00 gamma=90.00
Closest atoms and distances in Å follow each position.
Space group Immm (No. 71)
Symmetry-distinct sites (fractional):
Ho: 0.0000 0.0000 0.0000  8 Ag 3.01-3.15
Ho: 0.0000 0.0000 0.3472  8 Ag 3.04-3.16
Ho: 0.0000 0.5000 0.3291  8 Ag 3.03-3.08
Ag: 0.0000 0.2389 0.1733  7 Ho 3.03-3.16
Ag: 0.0000 0.2706 0.5000  6 Ho 3.01-3.08, 1 Ag 3.36

Computed properties:
* total magnetic moment: 0.00 Bohr magnetons per cell
* ΔH_f (0 K): -0.177 eV/atom



Entry 8:
The following is a DFT calculation (PBE-GGA) of a geometry-optimized Ho3Ag4 structure.

Unit cell a=5.0094 b=5.0094 c=24.7666 alpha=90.00 beta=90.00 gamma=120.00
Closest atoms and distances in Å follow each position.
Space group R-3m (No. 166, hexagonal axes)
Symmetry-distinct sites (fractional):
Ho: 0.0000 0.0000 0.0000  8 Ag 3.03
Ho: 0.0000 0.0000 0.2441  8 Ag 3.01-3.18
Ag: 0.0000 0.0000 0.1225  5 Ho 3.01-3.03
Ag: 0.0000 0.0000 0.3695  7 Ho 3.03-3.18

Computed properties:
* total magnetic moment: 0.00 Bohr magnetons per cell
* ΔH_f (0 K): -0.103 eV/atom



Entry 9:
The following is a DFT calculation (PBE-GGA) of a geometry-optimized Ho2Ag3 structure.

Unit cell a=3.6553 b=3.6553 c=16.7788 alpha=90.00 beta=90.00 gamma=90.00
Closest atoms and distances in Å follow each position.
Space group I4/mmm (No. 139)
Symmetry-distinct sites (fractional):
Ho: 0.0000 0.0000 0.1075  9 Ag 3.07-3.15
Ag: 0.0000 0.0000 0.2939  4 Ag 2.97, 5 Ho 3.07-3.13
Ag: 0.0000 0.0000 0.5000  8 Ho 3.15, 2 Ag 3.46

Computed properties:
* offset from the most stable computed form: 0 meV/atom
* total magnetic moment: 0.00 Bohr magnetons per cell
* ΔH_f (0 K): -0.305 eV/atom



Entry 10:
The following is a DFT calculation (PBE-GGA) of a geometry-optimized Ho14Ag51 structure.

Unit cell a=12.7660 b=12.7660 c=9.3276 alpha=90.00 beta=90.00 gamma=120.00
Closest atoms and distances in Å follow each position.
Space group P-6 (No. 174)
Symmetry-distinct sites (fractional):
Ho: 0.0000 0.0000 0.1922  15 Ag 3.05-3.30
Ho: 0.1157 0.7313 0.5000  14 Ag 3.10-3.35
Ho: 0.1403 0.4689 0.0000  14 Ag 3.08-3.31
Ho: 0.3982 0.1123 0.5000  14 Ag 3.02-3.38
Ho: 0.4634 0.3244 0.0000  12 Ag 3.08-3.28
Ag: 0.0011 0.1271 0.5000  6 Ag 2.78-2.98, 1 Ho 3.02
Ag: 0.0564 0.8226 0.0000  8 Ag 2.72-2.95
Ag: 0.0779 0.2734 0.2575  8 Ag 2.78-3.04, 1 Ho 3.10
Ag: 0.1024 0.6653 0.1647  7 Ag 2.80-3.07, 2 Ho 3.08-3.11
Ag: 0.1154 0.4984 0.3485  7 Ag 2.80-3.04
Ag: 0.2405 0.0598 0.0000  8 Ag 2.72-2.97
Ag: 0.2588 0.1850 0.2754  7 Ag 2.79-3.04, 1 Ho 3.05
Ag: 0.3333 0.6667 0.1928  7 Ag 2.87-2.95, 3 Ho 3.08
Ag: 0.3333 0.6667 0.5000  8 Ag 2.87-2.89
Ag: 0.4436 0.1036 0.1652  6 Ag 2.82-3.08, 2 Ho 3.11
Ag: 0.4894 0.3728 0.3472  7 Ag 2.79-3.04
Ag: 0.6667 0.3333 0.1926  7 Ag 2.87-2.93, 3 Ho 3.11
Ag: 0.6667 0.3333 0.5000  8 Ag 2.87-2.92, 3 Ho 3.17

Computed properties:
* total magnetic moment: 0.00 Bohr magnetons per cell
* ΔH_f (0 K): -0.227 eV/atom



Entry 11:
The following is a DFT calculation (PBE-GGA) of a geometry-optimized HoAg2 structure.

Unit cell a=8.0445 b=8.0445 c=8.0445 alpha=90.00 beta=90.00 gamma=90.00
Closest atoms and distances in Å follow each position.
Space group Fd-3m (No. 227, origin choice 2)
Symmetry-distinct sites (fractional):
Ho: 0.1250 0.1250 0.1250  12 Ag 3.34, 4 Ho 3.48
Ag: 0.0000 0.0000 0.5000  6 Ag 2.84

Computed properties:
* total magnetic moment: 0.00 Bohr magnetons per cell
* ΔH_f (0 K): -0.172 eV/atom



Entry 12:
The following is a DFT calculation (PBE-GGA) of a geometry-optimized Ho2Ag5 structure.

Unit cell a=9.8302 b=4.0263 c=7.4076 alpha=90.00 beta=95.24 gamma=90.00
Closest atoms and distances in Å follow each position.
Space group C2/m (No. 12)
Symmetry-distinct sites (fractional):
Ho: 0.0818 0.0000 0.2237  11 Ag 3.03-3.16
Ag: 0.0000 0.5000 0.5000  6 Ag 2.94-3.17, 4 Ho 3.03
Ag: 0.1411 0.5000 0.9304  6 Ag 3.05-3.36, 5 Ho 3.05-3.11
Ag: 0.2028 0.0000 0.6342  7 Ag 2.94-3.17, 4 Ho 3.04-3.16

Computed properties:
* total magnetic moment: 0.00 Bohr magnetons per cell
* ΔH_f (0 K): -0.242 eV/atom



Entry 13:
The following is a DFT calculation (PBE-GGA) of a geometry-optimized Ho13Ag2 structure.

Unit cell a=6.2795 b=8.3350 c=9.2027 alpha=68.57 beta=78.42 gamma=82.22
Closest atoms and distances in Å follow each position.
Space group P-1 (No. 2)
Symmetry-distinct sites (fractional):
Ho: 0.0000 0.0000 0.0000  12 Ho 3.41-3.70
Ho: 0.0449 0.4209 0.7016  2 Ag 3.04-3.11, 1 Ho 3.39
Ho: 0.2142 0.1809 0.2317  2 Ag 3.22-3.30, 6 Ho 3.40-3.58
Ho: 0.2532 0.5987 0.9429  10 Ho 3.36-3.67
Ho: 0.2827 0.9930 0.6448  2 Ag 3.04-3.20, 2 Ho 3.29-3.39
Ho: 0.4636 0.3714 0.4153  1 Ag 2.99, 2 Ho 3.20-3.29
Ho: 0.4763 0.7940 0.1589  1 Ag 3.12, 1 Ho 3.45
Ag: 0.1268 0.7881 0.4545  8 Ho 2.99-3.30

Computed properties:
* total magnetic moment: 0.00 Bohr magnetons per cell
* ΔH_f (0 K): -0.035 eV/atom



Entry 14:
The following is a DFT calculation (PBE-GGA) of a geometry-optimized HoAg structure.

Unit cell a=3.6203 b=3.6203 c=3.6203 alpha=90.00 beta=90.00 gamma=90.00
Closest atoms and distances in Å follow each position.
Space group Pm-3m (No. 221)
Symmetry-distinct sites (fractional):
Ho: 0.0000 0.0000 0.0000  8 Ag 3.14
Ag: 0.5000 0.5000 0.5000  8 Ho 3.14

Computed properties:
* total magnetic moment: 0.00 Bohr magnetons per cell
* ΔH_f (0 K): -0.326 eV/atom



Entry 15:
The following is a DFT calculation (PBE-GGA) of a geometry-optimized HoAg structure.

Unit cell a=5.9823 b=5.9823 c=5.9823 alpha=90.00 beta=90.00 gamma=90.00
Closest atoms and distances in Å follow each position.
Space group Fm-3m (No. 225)
Symmetry-distinct sites (fractional):
Ho: 0.0000 0.0000 0.0000  6 Ag 2.99
Ag: 0.0000 0.0000 0.5000  6 Ho 2.99

Computed properties:
* total magnetic moment: 0.00 Bohr magnetons per cell
* ΔH_f (0 K): -0.067 eV/atom



Entry 16:
The following is a DFT calculation (PBE-GGA) of a geometry-optimized Ho2Ag3 structure.

Unit cell a=6.4780 b=12.9565 c=5.5516 alpha=90.00 beta=90.00 gamma=90.00
Closest atoms and distances in Å follow each position.
Space group Ibam (No. 72)
Symmetry-distinct sites (fractional):
Ho: 0.2136 0.1725 0.0000  6 Ag 2.97-3.13
Ag: 0.0000 0.0000 0.2500  6 Ag 2.78-2.92, 4 Ho 2.97
Ag: 0.1452 0.4113 0.0000  3 Ag 2.92-2.97, 4 Ho 3.00-3.13

Computed properties:
* offset from the most stable computed form: 154 meV/atom
* total magnetic moment: 0.00 Bohr magnetons per cell
* ΔH_f (0 K): -0.151 eV/atom



Entry 17:
The following is a DFT calculation (PBE-GGA) of a geometry-optimized HoAg2 structure.

Unit cell a=3.7248 b=3.7248 c=9.2595 alpha=90.00 beta=90.00 gamma=90.00
Closest atoms and distances in Å follow each position.
Space group I4/mmm (No. 139)
Symmetry-distinct sites (fractional):
Ho: 0.0000 0.0000 0.0000  10 Ag 3.06-3.07
Ag: 0.0000 0.0000 0.3306  5 Ag 3.03-3.14, 5 Ho 3.06-3.07

Computed properties:
* total magnetic moment: 0.00 Bohr magnetons per cell
* ΔH_f (0 K): -0.319 eV/atom



Entry 18:
The following is a DFT calculation (PBE-GGA) of a geometry-optimized Ho7Ag3 structure.

Unit cell a=10.0437 b=10.0437 c=6.3333 alpha=90.00 beta=90.00 gamma=120.00
Closest atoms and distances in Å follow each position.
Space group P6_3mc (No. 186)
Symmetry-distinct sites (fractional):
Ho: 0.0661 0.5331 0.0000  2 Ag 2.96
Ho: 0.1260 0.2520 0.2739  3 Ag 3.00-3.07
Ho: 0.3333 0.6667 0.4344  3 Ag 3.00
Ag: 0.1953 0.3906 0.7190  6 Ho 2.96-3.07

Computed properties:
* total magnetic moment: 0.12 Bohr magnetons per cell
* ΔH_f (0 K): -0.120 eV/atom



Entry 19:
The following is a DFT calculation (PBE-GGA) of a geometry-optimized Ho3Ag2 structure.

Unit cell a=3.5916 b=3.5916 c=19.5726 alpha=90.00 beta=90.00 gamma=90.00
Closest atoms and distances in Å follow each position.
Space group P4/mmm (No. 123)
Symmetry-distinct sites (fractional):
Ho: 0.0000 0.0000 0.0000  8 Ag 3.13
Ho: 0.0000 0.0000 0.1882  8 Ag 3.13-3.15
Ho: 0.0000 0.0000 0.3750  4 Ag 3.13
Ho: 0.5000 0.5000 0.5000  12 Ho 3.53-3.59
Ag: 0.5000 0.5000 0.0934  8 Ho 3.13-3.15
Ag: 0.5000 0.5000 0.2815  8 Ho 3.13

Computed properties:
* offset from the most stable computed form: 0 meV/atom
* total magnetic moment: 0.00 Bohr magnetons per cell
* ΔH_f (0 K): -0.252 eV/atom



Entry 20:
The following is a DFT calculation (PBE-GGA) of a geometry-optimized Ho2AgI8 structure.

Unit cell a=16.5928 b=7.5993 c=10.7329 alpha=90.00 beta=106.41 gamma=90.00
Closest atoms and distances in Å follow each position.
Space group C2/m (No. 12)
Symmetry-distinct sites (fractional):
Ho: 0.2226 0.0000 0.3139  4 I 2.81-2.97
Ag: 0.0000 0.0000 0.0000  4 I 2.80
I: 0.1086 0.2575 0.1427  1 Ag 2.80, 1 Ho 2.97
I: 0.1171 0.5000 0.7246  1 Ho 2.81
I: 0.2083 0.0000 0.5764  1 Ho 2.89

Computed properties:
* ΔE_f (raw): -0.89 eV/atom
* total magnetic moment: 0.00 Bohr magnetons per cell